(1)
# SrCeF2

Crystalline SrCeF2 at its relaxed geometry (PBE, Alexandria).

Cell and atoms, written as extended XYZ:
```
4
Lattice="2.098 1.212 6.526 -2.098 1.212 6.526 0.000 -2.423 6.526" Properties=species:S:1:pos:R:3 pbc="T T T"
Sr 0.000 0.000 0.000
Ce 0.000 0.000 9.789
F 0.000 0.000 2.611
F 0.000 0.000 16.966
```

The uncorrected formation energy comes out at -10.250 eV/f.u. For the density of states at the Fermi level, the calculation gives 8.6 states/eV/f.u. Its volume is 99.54 Å³ per cell. The calculated total energy is -5.40 eV per atom. The space-group type is R-3m, No. 166.

=====

(2)
# SrCeF4

Crystalline SrCeF4 at its relaxed geometry (PBE, Alexandria).

Cell and atoms, written as extended XYZ:
```
12
Lattice="-3.872 3.872 4.043 3.872 -3.872 4.043 3.872 3.872 -4.043" Properties=species:S:1:pos:R:3 pbc="T T T"
Sr 0.000 0.000 0.000
Sr 0.000 3.872 2.021
Ce 3.872 0.000 2.133
Ce 0.000 0.000 4.154
F 3.872 1.457 -0.034
F 2.415 3.872 -2.055
F 1.457 0.000 1.988
F 0.000 2.434 0.016
F 0.000 5.310 0.016
F 2.434 3.872 2.038
F 1.438 0.000 6.081
F 0.000 2.415 4.009
```

The uncorrected formation energy comes out at -21.216 eV/f.u. For the density of states at the Fermi level, the calculation gives 5.3 states/eV/f.u. Its volume is 242.43 Å³ per cell. The calculated total energy is -6.05 eV per atom. The space-group type is I4_1md, No. 109.

=====

(3)
# Tb2CeF8

Crystalline Tb2CeF8 at its relaxed geometry (PBE, Alexandria).

Cell and atoms, written as extended XYZ:
```
11
Lattice="7.817 -1.806 0.000 7.817 1.806 0.000 -1.960 0.000 5.382" Properties=species:S:1:pos:R:3 pbc="T T T"
Tb 2.493 0.000 1.000
Tb 11.182 0.000 4.382
Ce 6.837 0.000 2.691
F 0.305 0.000 1.472
F 1.801 0.000 4.463
F 3.875 0.000 2.907
F 6.082 0.000 0.268
F 7.592 0.000 5.114
F 9.799 0.000 2.475
F 11.874 0.000 0.919
F 13.369 0.000 3.910
```

The uncorrected formation energy comes out at -42.907 eV/f.u. For the density of states at the Fermi level, the calculation gives 7.5 states/eV/f.u. Its volume is 151.95 Å³ per cell. The calculated total energy is -6.64 eV per atom. The space-group type is C2/m, No. 12.

=====

(4)
# Tb3CeF

Crystalline Tb3CeF at its relaxed geometry (PBE, Alexandria).

Cell and atoms, written as extended XYZ:
```
5
Lattice="5.055 0.000 0.000 0.000 5.055 0.000 0.000 0.000 5.055" Properties=species:S:1:pos:R:3 pbc="T T T"
Tb 0.000 0.000 2.528
Tb 0.000 2.528 0.000
Tb 2.528 0.000 0.000
Ce 2.528 2.528 2.528
F 0.000 0.000 0.000
```

The uncorrected formation energy comes out at -4.357 eV/f.u. For the density of states at the Fermi level, the calculation gives 8.8 states/eV/f.u. Its volume is 129.19 Å³ per cell. The calculated total energy is -5.21 eV per atom. The space-group type is Pm-3m, No. 221.

=====

(5)
# Tb2CeF11

Crystalline Tb2CeF11 at its relaxed geometry (PBE, Alexandria).

Cell and atoms, written as extended XYZ:
```
28
Lattice="-4.190 5.142 5.594 4.190 -5.142 5.594 4.190 5.142 -5.594" Properties=species:S:1:pos:R:3 pbc="T T T"
Tb 1.343 1.959 0.000
Tb 5.533 3.183 0.000
Tb -1.343 1.959 5.594
Tb 2.848 3.183 5.594
Ce 4.190 0.000 2.797
Ce 0.000 5.142 2.797
F 0.000 0.000 0.000
F 5.023 1.745 -1.597
F 5.910 -0.795 1.507
F 5.023 -1.745 3.997
F 3.271 -3.179 5.594
F 2.471 0.795 1.507
F 2.471 -0.795 4.087
F 3.271 3.179 0.000
F 5.023 1.745 1.597
F 1.720 5.937 -1.507
F 0.832 3.397 1.597
F 0.000 0.000 5.594
F 3.358 1.745 3.997
F 2.471 -0.795 7.101
F -0.832 3.397 3.997
F 0.919 1.963 5.594
F 1.720 5.937 1.507
F 1.720 4.346 4.087
F 0.919 8.320 0.000
F -0.832 6.887 1.597
F -1.720 5.937 4.087
F -0.832 3.397 7.191
```

The uncorrected formation energy comes out at -51.134 eV/f.u. For the density of states at the Fermi level, the calculation gives 0.1 states/eV/f.u. Its volume is 482.08 Å³ per cell. The calculated total energy is -6.21 eV per atom. The space-group type is Ibam, No. 72.

=====

(6)
# Ce2Te3F

Crystalline Ce2Te3F at its relaxed geometry (PBE, Alexandria).

Cell and atoms, written as extended XYZ:
```
24
Lattice="12.140 0.000 0.000 0.000 4.283 0.000 0.000 0.000 12.730" Properties=species:S:1:pos:R:3 pbc="T T T"
Ce 0.593 1.071 2.271
Ce 2.414 1.071 6.613
Ce 3.656 3.212 0.248
Ce 5.477 3.212 8.636
Ce 6.663 1.071 4.094
Ce 8.484 1.071 12.482
Ce 9.726 3.212 6.117
Ce 11.546 3.212 10.459
Te 0.716 3.212 4.881
Te 1.500 1.071 11.900
Te 2.261 3.212 8.926
Te 3.809 1.071 2.561
Te 4.570 3.212 5.535
Te 5.354 1.071 11.247
Te 6.786 3.212 1.484
Te 7.570 1.071 7.196
Te 8.331 3.212 10.170
Te 9.879 1.071 3.804
Te 10.640 3.212 0.830
Te 11.424 1.071 7.849
F 1.559 3.212 1.671
F 4.511 1.071 8.036
F 7.629 3.212 4.694
F 10.581 1.071 11.059
```

The uncorrected formation energy comes out at -11.039 eV/f.u. For the density of states at the Fermi level, the calculation gives 10.6 states/eV/f.u. Its volume is 661.89 Å³ per cell. The calculated total energy is -5.70 eV per atom. The space-group type is Pnma, No. 62.

=====

(7)
# CeTeF2

Crystalline CeTeF2 at its relaxed geometry (PBE, Alexandria).

Cell and atoms, written as extended XYZ:
```
8
Lattice="2.080 -5.892 0.000 2.080 5.892 0.000 0.000 0.000 6.957" Properties=species:S:1:pos:R:3 pbc="T T T"
Ce 2.080 2.987 5.218
Ce 2.080 -2.987 1.739
Te 2.080 5.585 1.739
Te 2.080 -5.585 5.218
F 2.080 2.351 0.495
F 2.080 2.351 2.983
F 2.080 -2.351 3.974
F 2.080 -2.351 6.462
```

The uncorrected formation energy comes out at -11.404 eV/f.u. For the density of states at the Fermi level, the calculation gives 6.4 states/eV/f.u. Its volume is 170.48 Å³ per cell. The calculated total energy is -6.06 eV per atom. The space-group type is Cmcm, No. 63.

=====

(8)
# Ce2Te2F

Crystalline Ce2Te2F at its relaxed geometry (PBE, Alexandria).

Cell and atoms, written as extended XYZ:
```
10
Lattice="-2.148 2.148 17.303 2.148 -2.148 17.303 2.148 2.148 -17.303" Properties=species:S:1:pos:R:3 pbc="T T T"
Ce 2.148 1.074 -5.593
Ce 0.000 1.074 3.058
Ce 2.148 1.074 14.245
Ce 0.000 1.074 22.896
Te 2.148 1.074 -1.927
Te 0.000 1.074 6.724
Te 2.148 1.074 10.579
Te 0.000 1.074 19.230
F 2.148 -1.074 12.977
F 0.000 3.222 4.326
```

The uncorrected formation energy comes out at -9.257 eV/f.u. For the density of states at the Fermi level, the calculation gives 14.1 states/eV/f.u. Its volume is 319.41 Å³ per cell. The calculated total energy is -5.86 eV per atom. As for the energy relative to the lowest polymorph listed for this composition: 48 meV/atom. The space-group type is I4_1/amd, No. 141.

=====

(9)
# CeTeF

Crystalline CeTeF at its relaxed geometry (PBE, Alexandria).

Cell and atoms, written as extended XYZ:
```
3
Lattice="4.238 0.000 0.000 -2.119 3.670 0.000 0.000 0.000 4.522" Properties=species:S:1:pos:R:3 pbc="T T T"
Ce 0.000 0.000 0.000
Te 2.119 1.223 2.261
F 0.000 2.447 0.000
```

The uncorrected formation energy comes out at -7.628 eV/f.u. For the density of states at the Fermi level, the calculation gives 5.8 states/eV/f.u. Its volume is 70.34 Å³ per cell. The calculated total energy is -6.19 eV per atom. The space-group type is P-6m2, No. 187.

=====

(10)
# CeTeF

Crystalline CeTeF at its relaxed geometry (PBE, Alexandria).

Cell and atoms, written as extended XYZ:
```
3
Lattice="0.000 3.527 3.527 3.527 0.000 3.527 3.527 3.527 0.000" Properties=species:S:1:pos:R:3 pbc="T T T"
Ce 0.000 0.000 0.000
Te 5.291 5.291 5.291
F 1.764 1.764 1.764
```

The uncorrected formation energy comes out at -6.081 eV/f.u. For the density of states at the Fermi level, the calculation gives 8.4 states/eV/f.u. Its volume is 87.75 Å³ per cell. The calculated total energy is -5.68 eV per atom. The space-group type is F-43m, No. 216.

=====

Which of these has the lowest calculated total energy?
Tb2CeF8